First-principles (PBE) data for a relaxed La12PrEr7 crystal, as listed in Alexandria via LeMat-Bulk.

Calculated values
Polymorph energy (0 for the lowest one): 0.021 eV/atom
Energy of formation from the pure elements: 0.213 eV per atom
Spin magnetization: 0.000 μB/atom
Final energy: -4.580 eV per atom

abc: 19.5765 19.5765 6.3751
angles: 90.00 90.00 120.00
Space group R-3m (No. 166, hexagonal axes)
Unique sites:
La 0.0000 0.4076 0.0000
La 0.0962 0.5481 0.4797
Pr 0.0000 0.0000 0.5000
Er 0.0000 0.0000 0.0000
Er 0.0828 0.1656 0.3018